Entry 1:
A relaxed structure of RbBa2HgF8, computed with GGA-PBE.

Cell lengths 4.5103, 6.0870, 8.7619 Å; angles 92.22, 88.87, 96.42 degrees
Site moments in Bohr magnetons follow the coordinates.
Element x y z (fractional)
Rb 0.0000 0.0000 0.5000  0.00
Ba 0.5042 0.4917 0.7507  0.00
Ba 0.4958 0.5083 0.2493  0.00
Hg 0.0000 0.0000 0.0000  0.25
F 0.0314 0.7267 0.2154  0.02
F 0.5834 0.7834 0.0041  0.14
F 0.9426 0.2151 0.1970  0.15
F 0.9686 0.2733 0.7846  0.02
F 0.4166 0.2166 0.9959  0.14
F 0.0574 0.7849 0.8030  0.15
F 0.4677 0.7255 0.5109  0.08
F 0.5323 0.2745 0.4891  0.08

- theoretical density (Mg/m³) = 5.0
- ΔE_f (raw) (eV per atom) = -2.756
- total magnetization (Bohr magnetons per cell) = 1.1

***

Entry 2:
A relaxed structure of ZrNi3P, computed with GGA-PBE.

Cell lengths 4.1816, 4.1816, 4.1816 Å; angles 90.00, 90.00, 90.00 degrees
Element x y z (fractional)
Ni 0.0000 0.5000 0.0000
Ni 0.0000 0.0000 0.5000
Ni 0.5000 0.0000 0.0000
Zr 0.5000 0.5000 0.5000
P 0.0000 0.0000 0.0000

- theoretical density (Mg/m³) = 6.8
- energy relative to the elements (eV per atom) = -0.256
- total magnetization (Bohr magnetons per cell) = 0.0

***

Entry 3:
A relaxed structure of K2CaSb2Pb, computed with GGA-PBE.

Cell lengths 7.3641, 7.5302, 10.0097 Å; angles 112.10, 111.58, 90.00 degrees
Element x y z (fractional)
K 0.4546 0.1797 0.3593
K 0.5454 0.8203 0.6407
K 0.0952 0.3203 0.6407
K 0.9048 0.6797 0.3593
Ca 0.0000 0.7500 0.0000
Ca 0.0000 0.2500 0.0000
Sb 0.8690 0.1085 0.2170
Sb 0.3481 0.6085 0.2170
Sb 0.6519 0.3915 0.7830
Sb 0.1310 0.8915 0.7830
Pb 0.5000 0.7500 0.0000
Pb 0.5000 0.2500 0.0000

- theoretical density (Mg/m³) = 4.0
- ΔE_f (raw) (eV per atom) = -0.547
- total magnetization (Bohr magnetons per cell) = 0.0

***

Entry 4:
A relaxed structure of Tb2Tm2Sc, computed with GGA-PBE.

Cell lengths 9.0017, 9.0017, 3.6973 Å; angles 90.00, 90.00, 90.00 degrees
Element x y z (fractional)
Tb 0.1318 0.6318 0.0000
Tb 0.6318 0.8682 0.0000
Tb 0.8682 0.3682 0.0000
Tb 0.3682 0.1318 0.0000
Tm 0.3319 0.8319 0.5000
Tm 0.8319 0.6681 0.5000
Tm 0.6681 0.1681 0.5000
Tm 0.1681 0.3319 0.5000
Sc 0.0000 0.0000 0.0000
Sc 0.5000 0.5000 0.0000

- theoretical density (Mg/m³) = 7.8
- energy relative to the elements (eV per atom) = 0.169
- total magnetization (Bohr magnetons per cell) = 0.0

***

Entry 5:
A relaxed structure of PmAl2Ge, computed with GGA-PBE.

Cell lengths 4.4418, 4.4418, 5.8062 Å; angles 67.51, 67.51, 60.00 degrees
Element x y z (fractional)
Ge 0.0000 0.0000 0.0000
Al 0.7112 0.7112 0.8665
Al 0.2888 0.2888 0.1335
Pm 0.5000 0.5000 0.5000

- theoretical density (Mg/m³) = 5.1
- energy relative to the elements (eV per atom) = -0.224
- total magnetization (Bohr magnetons per cell) = 0.0

***

Entry 6:
A relaxed structure of Cd3P2Br, computed with GGA-PBE.

Cell lengths 7.5508, 7.5508, 7.3231 Å; angles 99.55, 99.55, 119.10 degrees
Element x y z (fractional)
Cd 0.0639 0.2784 0.4088
Cd 0.2784 0.0639 0.9088
Cd 0.8867 0.4358 0.8775
Cd 0.4358 0.8867 0.3775
Cd 0.5013 0.6762 0.8669
Cd 0.6762 0.5013 0.3669
P 0.5924 0.4340 0.0038
P 0.7541 0.2582 0.5125
P 0.4340 0.5924 0.5038
P 0.2582 0.7541 0.0125
Br 0.0898 0.9243 0.5018
Br 0.9243 0.0898 0.0018

- theoretical density (Mg/m³) = 4.6
- ΔE_f (raw) (eV per atom) = -0.142
- total magnetization (Bohr magnetons per cell) = 0.0

***

Entry 7:
A relaxed structure of Np4Nb, computed with GGA-PBE.

Cell lengths 5.2706, 5.2706, 5.2706 Å; angles 90.00, 90.00, 90.00 degrees
Site moments in Bohr magnetons follow the coordinates.
Element x y z (fractional)
Np 0.0000 0.0000 0.0000  4.47
Np 0.5000 0.0000 0.5000  3.89
Np 0.0000 0.5000 0.5000  3.89
Np 0.5000 0.5000 0.0000  3.89
Nb 0.5000 0.5000 0.5000  -0.01

- theoretical density (Mg/m³) = 11.8
- energy relative to the elements (eV per atom) = 1.379
- total magnetization (Bohr magnetons per cell) = 18.1

***

Entry 8:
A relaxed structure of Zr2TiTl3Se6, computed with GGA-PBE.

Cell lengths 6.4256, 6.4256, 8.9940 Å; angles 96.80, 96.80, 119.99 degrees
Element x y z (fractional)
Zr 0.3334 0.6666 0.0000
Zr 0.6666 0.3334 0.0000
Ti 0.0000 0.0000 0.0000
Tl 0.1690 0.8310 0.5000
Tl 0.8310 0.1690 0.5000
Tl 0.5000 0.5000 0.5000
Se 0.9390 0.6179 0.8157
Se 0.7402 0.7402 0.1849
Se 0.0610 0.3821 0.1843
Se 0.6179 0.9390 0.8157
Se 0.2598 0.2598 0.8151
Se 0.3821 0.0610 0.1843

- theoretical density (Mg/m³) = 7.0
- ΔE_f (raw) (eV per atom) = -0.952
- total magnetization (Bohr magnetons per cell) = 0.0

***

Entry 9:
A relaxed structure of Sm5Dy5Y2, computed with GGA-PBE.

Cell lengths 5.0629, 10.7473, 8.0146 Å; angles 98.58, 71.59, 76.38 degrees
Element x y z (fractional)
Sm 0.6671 0.2499 0.4160
Sm 0.0002 0.2493 0.7504
Sm 0.9998 0.7507 0.2496
Sm 0.3329 0.7501 0.5840
Sm 0.0000 0.0000 0.0000
Dy 0.0000 0.5000 0.5000
Dy 0.6669 0.7498 0.9164
Dy 0.3334 0.9998 0.3335
Dy 0.6666 0.0002 0.6665
Dy 0.3331 0.2502 0.0836
Y 0.3333 0.5005 0.8328
Y 0.6667 0.4995 0.1672

- theoretical density (Mg/m³) = 7.4
- energy relative to the elements (eV per atom) = 0.017
- total magnetization (Bohr magnetons per cell) = 0.0

***

Entry 10:
A relaxed structure of MnCo4Se, computed with GGA-PBE.

Cell lengths 4.8021, 4.8021, 4.8021 Å; angles 60.00, 60.00, 60.00 degrees
Site moments in Bohr magnetons follow the coordinates.
Element x y z (fractional)
Mn 0.7500 0.7500 0.7500  3.62
Co 0.8741 0.3753 0.3753  1.73
Co 0.3753 0.3753 0.8741  1.73
Co 0.3753 0.8741 0.3753  1.73
Co 0.3753 0.3753 0.3753  1.73
Se 0.0000 0.0000 0.0000  0.09

- theoretical density (Mg/m³) = 7.8
- ΔE_f (raw) (eV per atom) = 0.286
- total magnetization (Bohr magnetons per cell) = 10.7

***

Entry 11:
A relaxed structure of PuAgTe3, computed with GGA-PBE.

Cell lengths 4.3428, 6.2352, 10.7941 Å; angles 90.00, 90.00, 90.00 degrees
Site moments in Bohr magnetons follow the coordinates.
Element x y z (fractional)
Pu 0.7500 0.2500 0.1420  5.06
Pu 0.2500 0.7500 0.8580  5.06
Ag 0.7500 0.7500 0.4535  -0.03
Ag 0.2500 0.2500 0.5465  -0.03
Te 0.7500 0.7500 0.0626  -0.19
Te 0.2500 0.2500 0.9374  -0.19
Te 0.7500 0.9963 0.6846  -0.10
Te 0.7500 0.5037 0.6846  -0.10
Te 0.2500 0.0037 0.3154  -0.10
Te 0.2500 0.4963 0.3154  -0.10

- theoretical density (Mg/m³) = 8.3
- ΔE_f (raw) (eV per atom) = -0.475
- total magnetization (Bohr magnetons per cell) = 9.1

***

Entry 12:
A relaxed structure of MnTc2Br, computed with GGA-PBE.

Cell lengths 4.9918, 4.9918, 4.4570 Å; angles 85.20, 85.20, 35.03 degrees
Site moments in Bohr magnetons follow the coordinates.
Element x y z (fractional)
Br 0.2500 0.2500 0.2500  -0.02
Mn 0.7500 0.7500 0.7500  2.94
Tc 0.0329 0.0329 0.9620  -0.31
Tc 0.4671 0.4671 0.5380  -0.31

- theoretical density (Mg/m³) = 8.7
- ΔE_f (raw) (eV per atom) = 0.634
- total magnetization (Bohr magnetons per cell) = 2.4

***

> Which formula does entry 2 have?

ZrNi3P

***

> Which value of total magnetization does entry 11 give?

9.1 Bohr magnetons per cell

***

> Which of these has the highest total magnetization?

Np4Nb